Record 1
Compound: Pm3Nd2TmSe6
Source: Alexandria
Functional: GGA-PBE
Structure: optimized geometry

E_form (uncorrected), eV per atom: -1.806
SG: C2/m, No. 12
DOS at the Fermi energy, states/eV per cell: 5.9
Uncorrected energy, eV/atom: -5.904
Total moment, μB per formula unit: 0.000
Crystal system: monoclinic

a = 9.333 Å, b = 9.333 Å, c = 8.409 Å
α = 102.69°, β = 102.69°, γ = 25.74°
Atoms (fractional coordinates):
1 Pm 0.000 0.000 0.000
2 Pm 0.328 0.328 0.666
3 Pm 0.672 0.672 0.334
4 Nd 0.331 0.331 0.163
5 Nd 0.669 0.669 0.837
6 Tm 0.000 0.000 0.500
7 Se 0.160 0.160 0.578
8 Se 0.164 0.164 0.085
9 Se 0.498 0.498 0.737
10 Se 0.502 0.502 0.263
11 Se 0.836 0.836 0.915
12 Se 0.840 0.840 0.422



Record 2
Compound: PmNd2Tm3Se6
Source: Alexandria
Functional: GGA-PBE
Structure: optimized geometry

E_form (uncorrected), eV per atom: -1.760
SG: C2/m, No. 12
DOS at the Fermi energy, states/eV per cell: 4.6
Uncorrected energy, eV/atom: -5.810
Total moment, μB per formula unit: 0.000
Crystal system: monoclinic

a = 9.293 Å, b = 9.293 Å, c = 8.393 Å
α = 105.43°, β = 105.43°, γ = 25.17°
Atoms (fractional coordinates):
1 Pm 0.000 0.000 0.000
2 Nd 0.333 0.333 0.666
3 Nd 0.667 0.667 0.334
4 Tm 0.000 0.000 0.500
5 Tm 0.333 0.333 0.167
6 Tm 0.667 0.667 0.833
7 Se 0.162 0.162 0.595
8 Se 0.170 0.170 0.071
9 Se 0.495 0.495 0.260
10 Se 0.505 0.505 0.740
11 Se 0.830 0.830 0.929
12 Se 0.838 0.838 0.405



Record 3
Compound: PmNdTm2Se4
Source: Alexandria
Functional: GGA-PBE
Structure: optimized geometry

E_form (uncorrected), eV per atom: -1.758
SG: P2/m, No. 10
DOS at the Fermi energy, states/eV per cell: 3.5
Uncorrected energy, eV/atom: -5.808
Total moment, μB per formula unit: 0.000
Crystal system: monoclinic

a = 7.020 Å, b = 4.032 Å, c = 7.348 Å
α = 90.00°, β = 108.43°, γ = 90.00°
Atoms (fractional coordinates):
1 Pm 0.000 0.000 0.000
2 Nd 0.500 0.500 0.000
3 Tm 0.000 0.500 0.500
4 Tm 0.500 0.000 0.500
5 Se 0.242 0.000 0.730
6 Se 0.255 0.500 0.269
7 Se 0.745 0.500 0.731
8 Se 0.758 0.000 0.270



Record 4
Compound: PmNdY2Se6
Source: Alexandria
Functional: GGA-PBE
Structure: optimized geometry

E_form (uncorrected), eV per atom: -1.853
SG: R3, No. 146
DOS at the Fermi energy, states/eV per cell: 0.0
Uncorrected energy, eV/atom: -6.188
Total moment, μB per formula unit: 0.000
Crystal system: trigonal

a = 7.785 Å, b = 7.785 Å, c = 7.785 Å
α = 56.25°, β = 56.25°, γ = 56.25°
Atoms (fractional coordinates):
1 Pm 0.000 0.000 0.000
2 Nd 0.501 0.501 0.501
3 Y 0.301 0.301 0.301
4 Y 0.800 0.800 0.800
5 Se 0.087 0.692 0.411
6 Se 0.189 0.587 0.914
7 Se 0.411 0.087 0.692
8 Se 0.587 0.914 0.189
9 Se 0.692 0.411 0.087
10 Se 0.914 0.189 0.587



Record 5
Compound: PmNd2Y3Se6
Source: Alexandria
Functional: GGA-PBE
Structure: optimized geometry

E_form (uncorrected), eV per atom: -1.805
SG: C2/m, No. 12
DOS at the Fermi energy, states/eV per cell: 5.5
Uncorrected energy, eV/atom: -6.354
Total moment, μB per formula unit: 0.000
Crystal system: monoclinic

a = 9.311 Å, b = 9.311 Å, c = 8.381 Å
α = 103.96°, β = 103.96°, γ = 25.57°
Atoms (fractional coordinates):
1 Pm 0.000 0.000 0.000
2 Nd 0.333 0.333 0.666
3 Nd 0.667 0.667 0.334
4 Y 0.000 0.000 0.500
5 Y 0.333 0.333 0.167
6 Y 0.667 0.667 0.833
7 Se 0.164 0.164 0.591
8 Se 0.169 0.169 0.075
9 Se 0.497 0.497 0.255
10 Se 0.503 0.503 0.745
11 Se 0.831 0.831 0.925
12 Se 0.836 0.836 0.409



Record 6
Compound: PmNd2YSe6
Source: Alexandria
Functional: GGA-PBE
Structure: optimized geometry

E_form (uncorrected), eV per atom: -1.845
SG: R3, No. 146
DOS at the Fermi energy, states/eV per cell: 0.0
Uncorrected energy, eV/atom: -6.011
Total moment, μB per formula unit: 0.000
Crystal system: trigonal

a = 7.848 Å, b = 7.848 Å, c = 7.848 Å
α = 56.32°, β = 56.32°, γ = 56.32°
Atoms (fractional coordinates):
1 Pm 0.000 0.000 0.000
2 Nd 0.297 0.297 0.297
3 Nd 0.799 0.799 0.799
4 Y 0.497 0.497 0.497
5 Se 0.107 0.702 0.395
6 Se 0.212 0.605 0.885
7 Se 0.395 0.107 0.702
8 Se 0.605 0.885 0.212
9 Se 0.702 0.395 0.107
10 Se 0.885 0.212 0.605



Record 7
Compound: Pm2NdYSe6
Source: Alexandria
Functional: GGA-PBE
Structure: optimized geometry

E_form (uncorrected), eV per atom: -1.846
SG: R3, No. 146
DOS at the Fermi energy, states/eV per cell: 0.0
Uncorrected energy, eV/atom: -6.010
Total moment, μB per formula unit: 0.000
Crystal system: trigonal

a = 7.842 Å, b = 7.842 Å, c = 7.842 Å
α = 56.24°, β = 56.24°, γ = 56.24°
Atoms (fractional coordinates):
1 Pm 0.000 0.000 0.000
2 Pm 0.497 0.497 0.497
3 Nd 0.201 0.201 0.201
4 Y 0.697 0.697 0.697
5 Se 0.089 0.410 0.800
6 Se 0.303 0.897 0.602
7 Se 0.410 0.800 0.089
8 Se 0.602 0.303 0.897
9 Se 0.800 0.089 0.410
10 Se 0.897 0.602 0.303



Record 8
Compound: Pm4Nd3YSe8
Source: Alexandria
Functional: GGA-PBE
Structure: optimized geometry

E_form (uncorrected), eV per atom: -1.820
SG: R-3m, No. 166
DOS at the Fermi energy, states/eV per cell: 11.0
Uncorrected energy, eV/atom: -6.048
Total moment, μB per formula unit: 0.000
Crystal system: trigonal

a = 8.393 Å, b = 8.393 Å, c = 8.393 Å
α = 60.05°, β = 60.05°, γ = 60.05°
Atoms (fractional coordinates):
1 Pm 0.000 0.000 0.000
2 Pm 0.000 0.500 0.500
3 Pm 0.500 0.000 0.500
4 Pm 0.500 0.500 0.000
5 Nd 0.000 0.000 0.500
6 Nd 0.000 0.500 0.000
7 Nd 0.500 0.000 0.000
8 Y 0.500 0.500 0.500
9 Se 0.251 0.251 0.251
10 Se 0.254 0.254 0.744
11 Se 0.254 0.744 0.254
12 Se 0.256 0.746 0.746
13 Se 0.744 0.254 0.254
14 Se 0.746 0.256 0.746
15 Se 0.746 0.746 0.256
16 Se 0.749 0.749 0.749



Record 9
Compound: Pm4NdYSe8
Source: Alexandria
Functional: GGA-PBE
Structure: optimized geometry

E_form (uncorrected), eV per atom: -1.731
SG: R3m, No. 160
DOS at the Fermi energy, states/eV per cell: 9.0
Uncorrected energy, eV/atom: -5.882
Total moment, μB per formula unit: 0.000
Crystal system: trigonal

a = 8.602 Å, b = 8.602 Å, c = 8.602 Å
α = 60.27°, β = 60.27°, γ = 60.27°
Atoms (fractional coordinates):
1 Pm 0.000 0.000 0.000
2 Pm 0.123 0.624 0.624
3 Pm 0.624 0.123 0.624
4 Pm 0.624 0.624 0.123
5 Nd 0.248 0.248 0.248
6 Y 0.624 0.624 0.624
7 Se 0.381 0.381 0.381
8 Se 0.387 0.387 0.846
9 Se 0.387 0.846 0.387
10 Se 0.399 0.862 0.862
11 Se 0.846 0.387 0.387
12 Se 0.862 0.399 0.862
13 Se 0.862 0.862 0.399
14 Se 0.867 0.867 0.867



Record 10
Compound: Pm8NdSi6
Source: Alexandria
Functional: GGA-PBE
Structure: optimized geometry

E_form (uncorrected), eV per atom: -0.514
SG: R-3, No. 148
DOS at the Fermi energy, states/eV per cell: 7.1
Uncorrected energy, eV/atom: -5.535
Total moment, μB per formula unit: 0.000
Crystal system: trigonal

a = 8.017 Å, b = 8.017 Å, c = 8.017 Å
α = 66.55°, β = 66.55°, γ = 66.55°
Atoms (fractional coordinates):
1 Pm 0.064 0.395 0.729
2 Pm 0.167 0.167 0.167
3 Pm 0.271 0.936 0.605
4 Pm 0.395 0.729 0.064
5 Pm 0.605 0.271 0.936
6 Pm 0.729 0.064 0.395
7 Pm 0.833 0.833 0.833
8 Pm 0.936 0.605 0.271
9 Nd 0.500 0.500 0.500
10 Si 0.098 0.767 0.432
11 Si 0.233 0.568 0.902
12 Si 0.432 0.098 0.767
13 Si 0.568 0.902 0.233
14 Si 0.767 0.432 0.098
15 Si 0.902 0.233 0.568



Record 11
Compound: PmNd4Si4
Source: Alexandria
Functional: GGA-PBE
Structure: optimized geometry

E_form (uncorrected), eV per atom: -0.450
SG: P4_2/n, No. 86
DOS at the Fermi energy, states/eV per cell: 17.8
Uncorrected energy, eV/atom: -5.507
Total moment, μB per formula unit: 0.000
Crystal system: tetragonal

a = 9.091 Å, b = 9.091 Å, c = 6.024 Å
α = 90.00°, β = 90.00°, γ = 90.00°
Atoms (fractional coordinates):
1 Pm 0.250 0.250 0.250
2 Pm 0.750 0.750 0.750
3 Nd 0.054 0.670 0.117
4 Nd 0.170 0.946 0.617
5 Nd 0.330 0.554 0.617
6 Nd 0.446 0.830 0.117
7 Nd 0.554 0.170 0.883
8 Nd 0.670 0.446 0.383
9 Nd 0.830 0.054 0.383
10 Nd 0.946 0.330 0.883
11 Si 0.015 0.616 0.605
12 Si 0.116 0.985 0.105
13 Si 0.384 0.515 0.105
14 Si 0.485 0.884 0.605
15 Si 0.515 0.116 0.395
16 Si 0.616 0.485 0.895
17 Si 0.884 0.015 0.895
18 Si 0.985 0.384 0.395



Record 12
Compound: Pm2NdSi
Source: Alexandria
Functional: GGA-PBE
Structure: optimized geometry

E_form (uncorrected), eV per atom: -0.254
SG: P4/mmm, No. 123
DOS at the Fermi energy, states/eV per cell: 3.9
Uncorrected energy, eV/atom: -5.177
Total moment, μB per formula unit: 0.000
Distance to the lowest polymorph of the same formula, eV per atom: 0.113
Crystal system: tetragonal

a = 4.768 Å, b = 4.768 Å, c = 4.744 Å
α = 90.00°, β = 90.00°, γ = 90.00°
Atoms (fractional coordinates):
1 Pm 0.000 0.500 0.000
2 Pm 0.500 0.000 0.000
3 Nd 0.000 0.000 0.500
4 Si 0.500 0.500 0.500



Record 13
Compound: Pm6NdSi4
Source: Alexandria
Functional: GGA-PBE
Structure: optimized geometry

E_form (uncorrected), eV per atom: -0.383
SG: I-42m, No. 121
DOS at the Fermi energy, states/eV per cell: 10.4
Uncorrected energy, eV/atom: -5.379
Total moment, μB per formula unit: 0.000
Crystal system: tetragonal

a = 7.765 Å, b = 7.765 Å, c = 7.765 Å
α = 120.63°, β = 120.63°, γ = 88.92°
Atoms (fractional coordinates):
1 Pm 0.000 0.500 0.500
2 Pm 0.172 0.172 0.687
3 Pm 0.485 0.485 0.313
4 Pm 0.500 0.000 0.500
5 Pm 0.515 0.828 0.000
6 Pm 0.828 0.515 0.000
7 Nd 0.000 0.000 0.000
8 Si 0.185 0.629 0.000
9 Si 0.371 0.371 0.555
10 Si 0.629 0.185 0.000
11 Si 0.815 0.815 0.445



Record 14
Compound: Pm2NdSi
Source: Alexandria
Functional: GGA-PBE
Structure: optimized geometry

E_form (uncorrected), eV per atom: -0.366
SG: Pnma, No. 62
DOS at the Fermi energy, states/eV per cell: 19.8
Uncorrected energy, eV/atom: -5.289
Total moment, μB per formula unit: 0.000
Distance to the lowest polymorph of the same formula, eV per atom: 0.000
Crystal system: orthorhombic

a = 7.914 Å, b = 9.326 Å, c = 6.434 Å
α = 90.00°, β = 90.00°, γ = 90.00°
Atoms (fractional coordinates):
1 Pm 0.186 0.054 0.132
2 Pm 0.186 0.446 0.132
3 Pm 0.314 0.554 0.632
4 Pm 0.314 0.946 0.632
5 Pm 0.686 0.054 0.368
6 Pm 0.686 0.446 0.368
7 Pm 0.814 0.554 0.868
8 Pm 0.814 0.946 0.868
9 Nd 0.031 0.250 0.630
10 Nd 0.469 0.750 0.130
11 Nd 0.531 0.250 0.870
12 Nd 0.969 0.750 0.370
13 Si 0.119 0.750 0.928
14 Si 0.381 0.250 0.428
15 Si 0.619 0.750 0.572
16 Si 0.881 0.250 0.072



Record 15
Compound: Pm3NdSi2
Source: Alexandria
Functional: GGA-PBE
Structure: optimized geometry

E_form (uncorrected), eV per atom: -0.477
SG: C2/m, No. 12
DOS at the Fermi energy, states/eV per cell: 11.6
Uncorrected energy, eV/atom: -5.455
Total moment, μB per formula unit: 0.000
Crystal system: monoclinic

a = 9.011 Å, b = 9.011 Å, c = 9.387 Å
α = 114.09°, β = 114.09°, γ = 28.56°
Atoms (fractional coordinates):
1 Pm 0.046 0.046 0.197
2 Pm 0.310 0.310 0.615
3 Pm 0.347 0.347 0.026
4 Pm 0.653 0.653 0.974
5 Pm 0.690 0.690 0.385
6 Pm 0.954 0.954 0.803
7 Nd 0.116 0.116 0.632
8 Nd 0.884 0.884 0.368
9 Si 0.236 0.236 0.214
10 Si 0.492 0.492 0.625
11 Si 0.508 0.508 0.375
12 Si 0.764 0.764 0.786



Record 16
Compound: PmNd2Si
Source: Alexandria
Functional: GGA-PBE
Structure: optimized geometry

E_form (uncorrected), eV per atom: -0.251
SG: P4/mmm, No. 123
DOS at the Fermi energy, states/eV per cell: 3.9
Uncorrected energy, eV/atom: -5.179
Total moment, μB per formula unit: 0.000
Distance to the lowest polymorph of the same formula, eV per atom: 0.109
Crystal system: tetragonal

a = 4.766 Å, b = 4.766 Å, c = 4.786 Å
α = 90.00°, β = 90.00°, γ = 90.00°
Atoms (fractional coordinates):
1 Pm 0.000 0.000 0.000
2 Nd 0.000 0.500 0.500
3 Nd 0.500 0.000 0.500
4 Si 0.500 0.500 0.000



Record 17
Compound: Pm2Nd2Si3
Source: Alexandria
Functional: GGA-PBE
Structure: optimized geometry

E_form (uncorrected), eV per atom: -0.429
SG: C2/m, No. 12
DOS at the Fermi energy, states/eV per cell: 3.6
Uncorrected energy, eV/atom: -5.473
Total moment, μB per formula unit: 0.193
Crystal system: monoclinic

a = 7.251 Å, b = 7.251 Å, c = 7.617 Å
α = 101.20°, β = 101.20°, γ = 33.70°
Atoms (fractional coordinates):
1 Pm 0.129 0.129 0.392
2 Pm 0.871 0.871 0.608
3 Nd 0.365 0.365 0.141
4 Nd 0.635 0.635 0.859
5 Si 0.262 0.262 0.760
6 Si 0.500 0.500 0.500
7 Si 0.738 0.738 0.240



Record 18
Compound: Pm2NdSi
Source: Alexandria
Functional: GGA-PBE
Structure: optimized geometry

E_form (uncorrected), eV per atom: -0.227
SG: P4/mmm, No. 123
DOS at the Fermi energy, states/eV per cell: 5.3
Uncorrected energy, eV/atom: -5.150
Total moment, μB per formula unit: 0.000
Distance to the lowest polymorph of the same formula, eV per atom: 0.139
Crystal system: tetragonal

a = 3.916 Å, b = 3.916 Å, c = 7.413 Å
α = 90.00°, β = 90.00°, γ = 90.00°
Atoms (fractional coordinates):
1 Pm 0.000 0.000 0.198
2 Pm 0.000 0.000 0.802
3 Nd 0.500 0.500 0.500
4 Si 0.500 0.500 0.000



Record 19
Compound: Pm2NdSi
Source: Alexandria
Functional: GGA-PBE
Structure: optimized geometry

E_form (uncorrected), eV per atom: 0.009
SG: R-3m, No. 166
DOS at the Fermi energy, states/eV per cell: 6.0
Uncorrected energy, eV/atom: -4.914
Total moment, μB per formula unit: 0.009
Distance to the lowest polymorph of the same formula, eV per atom: 0.376
Crystal system: trigonal

a = 11.247 Å, b = 11.247 Å, c = 11.247 Å
α = 19.00°, β = 19.00°, γ = 19.00°
Atoms (fractional coordinates):
1 Pm 0.109 0.109 0.109
2 Pm 0.891 0.891 0.891
3 Nd 0.000 0.000 0.000
4 Si 0.500 0.500 0.500



Record 20
Compound: Pm12NdSi6
Source: Alexandria
Functional: GGA-PBE
Structure: optimized geometry

E_form (uncorrected), eV per atom: -0.319
SG: R-3m, No. 166
DOS at the Fermi energy, states/eV per cell: 24.1
Uncorrected energy, eV/atom: -5.283
Total moment, μB per formula unit: 0.005
Crystal system: trigonal

a = 8.602 Å, b = 8.602 Å, c = 8.602 Å
α = 103.51°, β = 103.51°, γ = 103.51°
Atoms (fractional coordinates):
1 Pm 0.000 0.378 0.622
2 Pm 0.000 0.622 0.378
3 Pm 0.057 0.057 0.323
4 Pm 0.057 0.323 0.057
5 Pm 0.323 0.057 0.057
6 Pm 0.378 0.000 0.622
7 Pm 0.378 0.622 0.000
8 Pm 0.622 0.000 0.378
9 Pm 0.622 0.378 0.000
10 Pm 0.677 0.943 0.943
11 Pm 0.943 0.677 0.943
12 Pm 0.943 0.943 0.677
13 Nd 0.500 0.500 0.500
14 Si 0.199 0.751 0.751
15 Si 0.249 0.249 0.801
16 Si 0.249 0.801 0.249
17 Si 0.751 0.199 0.751
18 Si 0.751 0.751 0.199
19 Si 0.801 0.249 0.249